# 1
This record from Alexandria describes a relaxed Tb7SmEr2 crystal. The functional is PBE.

abc: 8.7484 16.0875 5.6110
angles: 90.00 90.00 90.00
Space group Cmmm (No. 65)
Unique sites:
Tb 0.0000 0.0000 0.0000 [2 per cell]
Tb 0.0000 0.2828 0.5000 [4 per cell]
Tb 0.1772 0.3852 0.0000 [8 per cell]
Sm 0.0000 0.5000 0.5000 [2 per cell]
Er 0.0000 0.2038 0.0000 [4 per cell]

The density is 6.7 Mg/m³. The formation energy is 0.69 eV/atom. The value obtained for the spin magnetization is 0.00 μB per formula unit. Its uncorrected energy is -78.70 eV per cell. The value obtained for the energy above the lowest structure with this stoichiometry is 672.6 meV per atom.



# 2
This record from Alexandria describes a relaxed TbCu4 crystal. The functional is PBE.

abc: 5.0157 5.0157 5.0157
angles: 90.00 90.00 90.00
Space group Pm-3m (No. 221)
Unique sites:
Tb 0.0000 0.0000 0.0000 [1 per cell]
Cu 0.0000 0.0000 0.5000 [3 per cell]
Cu 0.5000 0.5000 0.5000 [1 per cell]

The density is 5.4 Mg/m³. The formation energy is 1.42 eV/atom. The value obtained for the spin magnetization is 0.00 μB per formula unit. Its uncorrected energy is -13.90 eV per cell.



# 3
This record from Alexandria describes a relaxed LiPPbCl2 crystal. The functional is PBE.

abc: 5.6402 5.6402 5.9377
angles: 90.00 90.00 90.00
Space group P4/mmm (No. 123)
Unique sites:
Li 0.0000 0.0000 0.0000 [1 per cell]
P 0.5000 0.5000 0.0000 [1 per cell]
Pb 0.5000 0.5000 0.5000 [1 per cell]
Cl 0.0000 0.5000 0.5000 [2 per cell]

The density is 2.8 Mg/m³. The energy relative to the elements, uncorrected comes out at -0.94 eV per formula unit. The value obtained for the spin magnetization is 1.66 μB per formula unit. Its uncorrected energy is -15.67 eV per cell. The value obtained for the energy above the lowest structure with this stoichiometry is 155.8 meV per atom.



# 4
This record from Alexandria describes a relaxed Lu5Re2C7 crystal. The functional is PBE.

abc: 7.9434 14.2418 3.3409
angles: 90.00 90.00 90.00
Space group Cmmm (No. 65)
Unique sites:
Lu 0.0000 0.0000 0.0000 [2 per cell]
Lu 0.2078 0.3709 0.5000 [8 per cell]
Re 0.0000 0.2159 0.0000 [4 per cell]
C 0.0000 0.1229 0.5000 [4 per cell]
C 0.0000 0.5000 0.0000 [2 per cell]
C 0.1710 0.5000 0.0000 [4 per cell]
C 0.2500 0.2500 0.0000 [4 per cell]

The density is 11.7 Mg/m³. The formation energy is -0.44 eV/atom. The value obtained for the spin magnetization is 0.00 μB per formula unit. Its uncorrected energy is -236.33 eV per cell.



# 5
This record from Alexandria describes a relaxed PmCO4 crystal. The functional is PBE.

abc: 16.2600 3.6922 6.7671
angles: 90.00 109.50 90.00
Space group C2/c (No. 15)
Unique sites:
Pm 0.0000 0.1911 0.2500 [4 per cell]
C 0.2500 0.2500 0.0000 [4 per cell]
O 0.0569 0.3221 0.9797 [8 per cell]
O 0.2056 0.0609 0.8675 [8 per cell]

The density is 3.8 Mg/m³. The energy relative to the elements, uncorrected comes out at -10.81 eV per formula unit. The value obtained for the spin magnetization is 1.00 μB per formula unit. Its uncorrected energy is -178.46 eV per cell. The value obtained for the energy above the lowest structure with this stoichiometry is 302.4 meV per atom.



# 6
This record from Alexandria describes a relaxed Ba2Cd2Pd crystal. The functional is PBE.

abc: 7.7447 7.7447 5.3930
angles: 90.00 90.00 90.00
Space group P4/mbm (No. 127)
Unique sites:
Ba 0.1799 0.3201 0.0000 [4 per cell]
Cd 0.1349 0.6349 0.5000 [4 per cell]
Pd 0.0000 0.0000 0.5000 [2 per cell]

The density is 6.2 Mg/m³. The formation energy is -0.22 eV/atom. The value obtained for the spin magnetization is 0.00 μB per formula unit. Its uncorrected energy is -23.95 eV per cell. The value obtained for the energy above the lowest structure with this stoichiometry is 208.1 meV per atom.



# 7
This record from Alexandria describes a relaxed Li5Pr4Pd6 crystal. The functional is PBE.

abc: 4.1262 20.5609 15.0765
angles: 90.00 90.00 90.00
Space group Cmc2_1 (No. 36)
Unique sites:
Li 0.0000 0.0596 0.0000 [4 per cell]
Li 0.0000 0.1424 0.3283 [4 per cell]
Li 0.0000 0.1758 0.5838 [4 per cell]
Li 0.0000 0.1923 0.9356 [4 per cell]
Li 0.0000 0.3396 0.9633 [4 per cell]
Pr 0.0000 0.3061 0.2633 [4 per cell]
Pr 0.0000 0.3477 0.6339 [4 per cell]
Pr 0.0000 0.4577 0.1189 [4 per cell]
Pr 0.0000 0.4850 0.8497 [4 per cell]
Pd 0.0000 0.0488 0.1978 [4 per cell]
Pd 0.0000 0.0721 0.4766 [4 per cell]
Pd 0.0000 0.0860 0.7815 [4 per cell]
Pd 0.0000 0.2503 0.0860 [4 per cell]
Pd 0.0000 0.2877 0.8112 [4 per cell]
Pd 0.0000 0.3861 0.4298 [4 per cell]

The density is 6.4 Mg/m³. The formation energy is -0.49 eV/atom. The value obtained for the spin magnetization is 0.00 μB per formula unit. Its uncorrected energy is -268.67 eV per cell.



# 8
This record from Alexandria describes a relaxed Dy3Ho crystal. The functional is PBE.

abc: 3.6118 5.5994 6.2550
angles: 90.00 90.00 90.00
Space group Pmm2 (No. 25)
Unique sites:
Dy 0.0000 0.0000 0.0000 [1 per cell]
Dy 0.0000 0.5000 0.3339 [1 per cell]
Dy 0.5000 0.5000 0.8337 [1 per cell]
Ho 0.5000 0.0000 0.5003 [1 per cell]

The density is 8.6 Mg/m³. The formation energy is 0.01 eV/atom. The value obtained for the spin magnetization is 0.00 μB per formula unit. Its uncorrected energy is -18.36 eV per cell. The value obtained for the energy above the lowest structure with this stoichiometry is 0.0 meV per atom.



# 9
This record from Alexandria describes a relaxed Ca3VN crystal. The functional is PBE.

abc: 4.9523 4.9523 4.9523
angles: 90.00 90.00 90.00
Space group Pm-3m (No. 221)
Unique sites:
Ca 0.0000 0.0000 0.5000 [3 per cell]
V 0.5000 0.5000 0.5000 [1 per cell]
N 0.0000 0.0000 0.0000 [1 per cell]

The density is 2.5 Mg/m³. The energy relative to the elements, uncorrected comes out at 0.00 eV per formula unit. The value obtained for the spin magnetization is 5.44 μB per formula unit. Its uncorrected energy is -23.45 eV per cell. The value obtained for the energy above the lowest structure with this stoichiometry is 0.0 meV per atom.



# 10
This record from Alexandria describes a relaxed Pm6CoNi crystal. The functional is PBE.

abc: 6.7730 11.2388 6.7615
angles: 90.00 108.41 90.00
Space group C2/m (No. 12)
Unique sites:
Pm 0.2410 0.1689 0.2469 [8 per cell]
Pm 0.2472 0.5000 0.2439 [4 per cell]
Co 0.0000 0.0000 0.0000 [2 per cell]
Ni 0.0000 0.5000 0.5000 [2 per cell]

The density is 6.7 Mg/m³. The formation energy is -0.04 eV/atom. The value obtained for the spin magnetization is 0.00 μB per formula unit. Its uncorrected energy is -83.42 eV per cell.



# 11
This record from Alexandria describes a relaxed Th3InRh crystal. The functional is PBE.

abc: 6.0327 7.0963 7.2071
angles: 90.00 113.10 90.00
Space group P2_1/m (No. 11)
Unique sites:
Th 0.0163 0.2500 0.3290 [2 per cell]
Th 0.4428 0.5214 0.2098 [4 per cell]
In 0.0882 0.2500 0.8388 [2 per cell]
Rh 0.3357 0.7500 0.4998 [2 per cell]

The density is 10.7 Mg/m³. The formation energy is -0.38 eV/atom. The value obtained for the spin magnetization is 0.00 μB per formula unit. Its uncorrected energy is -68.48 eV per cell.



spin magnetization of number 7 (Li5Pr4Pd6)?
0.00 μB per formula unit